AcNd4Sc | PBE | relaxed Values from VASP.

- space group = No. 123
- volume (Å³ per cell) = 248
- DFT total energy (eV per atom) = -4.321
- total magnetization (μB/cell) = 0.00
- calculated formation energy (kJ/mol of formula units) = 346

Quantum ESPRESSO input file:
```
&SYSTEM
  ibrav = 0, nat = 6, ntyp = 3
/
ATOMIC_SPECIES
Nd 144.24 Nd.upf
Ac 227.00 Ac.upf
Sc 44.96 Sc.upf
ATOMIC_POSITIONS angstrom
Nd -5.975 0.327 0.111
Nd -4.368 2.747 6.278
Ac -5.625 3.190 2.664
Nd -2.666 1.484 0.884
Nd -7.676 1.591 5.505
Sc -3.306 -1.164 -0.751
CELL_PARAMETERS angstrom
-4.217 2.150 -1.833
-2.401 -4.463 0.288
-2.823 2.096 8.951
```